# La2Dy3Ho2 | the Alexandria database | GGA-PBE | relaxed
# DFT formation energy   22 meV/atom
# Energy above the most stable polymorph in this dataset   0.00 kJ/mol of atoms
# DFT total energy   -4.666 eV per atom
# Density of states at the Fermi level   1.389 states/eV per atom
data_La2Dy3Ho2
_chemical_formula_sum 'La2 Dy3 Ho2'
_cell_length_a 3.6074
_cell_length_b 10.8056
_cell_length_c 6.1848
_cell_angle_alpha 95.24
_cell_angle_beta 73.11
_cell_angle_gamma 89.97
_space_group_name_H-M_alt 'P 1'
_space_group_IT_number 1
loop_
_space_group_symop_operation_xyz
'x,y,z'
loop_
_atom_site_label
_atom_site_fract_x
_atom_site_fract_y
_atom_site_fract_z
La1 0.7155 0.1456 0.5708
La2 0.2845 0.8544 0.4292
Dy1 0.0000 0.0000 0.0000
Dy2 0.8575 0.5686 0.2839
Dy3 0.1425 0.4314 0.7161
Ho1 0.4294 0.2898 0.1403
Ho2 0.5706 0.7102 0.8597